Mo5Pt | Alexandria | PBEsol | optimized geometry; DOS at the Fermi energy = 1.000 states/eV/atom; DFT formation energy = 0.13 eV/atom; density = 12.20 g/cm³; relative energy among the computed polymorphs = 17 meV/atom
1.0
2.6168 0.0000 0.0000
0.0000 4.5864 0.0000
-1.3084 0.0000 7.6511
Mo Pt
5 1
Cartesian
0.0000 0.0000 0.0938
0.0000 2.2932 6.7468
0.0000 0.0000 5.1960
1.3084 0.0000 2.5917
1.3084 2.2932 4.1090
0.0000 2.2932 1.6655



MnOsBr2 | Alexandria | PBEsol | optimized geometry; DOS at the Fermi energy = 0.302 states/eV/atom; E_form (uncorrected) = 0.490 eV/atom; density = 7.60 g/cm³; relative energy among the computed polymorphs = 0 meV/atom
1.0
-2.8598 1.8797 0.3474
-2.2534 -3.2463 -0.9847
2.2306 -0.9386 6.4110
Os Br Mn
1 2 1
Cartesian
-1.4299 0.9399 0.1737
-0.0953 -0.4744 1.7821
-2.7872 -1.8307 3.9916
-1.1267 -1.6231 -0.4924



CoHgTe2N | Alexandria | PBEsol | optimized geometry; DOS at the Fermi energy = 0.662 states/eV/atom; E_form (uncorrected) = 0.209 eV/atom; density = 9.02 g/cm³
1.0
3.3661 0.0000 0.0000
0.0000 5.3780 0.0000
0.0000 0.0000 5.3780
Co Hg Te N
1 1 2 1
Cartesian
0.0000 0.0000 0.0000
1.6831 2.6890 2.6890
0.0000 0.0000 2.6890
0.0000 2.6890 0.0000
1.6831 0.0000 0.0000



Sr5Ca3Ti3Mn5O24 | Alexandria | PBEsol | optimized geometry; DOS at the Fermi energy = 0.059 states/eV/atom; E_form (uncorrected) = -2.625 eV/atom; density = 5.14 g/cm³
1.0
7.5793 -0.0107 0.0079
-0.0122 7.6077 0.0081
0.0070 0.0070 7.6204
O Mn Ca Sr Ti
24 5 3 5 3
Cartesian
3.6518 7.4649 5.7737
0.1732 7.4870 5.7340
3.9704 3.9375 5.7177
0.1912 5.7125 0.1264
1.8466 3.9898 3.9648
5.7250 3.5730 3.6702
3.5610 1.8984 4.0205
1.8486 7.4545 3.7215
7.3761 5.7042 3.6815
5.6943 7.4166 7.5555
5.7352 0.2372 3.9709
0.2907 1.9065 4.0010
0.2321 3.5795 1.8837
1.8900 0.3285 0.1314
7.5140 0.1879 1.9144
7.3318 1.8930 7.3773
3.5829 3.5832 1.8998
7.3453 3.9105 5.7087
5.7205 3.9449 0.1813
4.0198 1.8664 7.3950
1.8520 3.5850 7.3905
3.8605 0.1769 1.8838
3.6006 5.7346 0.1514
3.9539 5.7087 3.6763
0.0066 3.7720 7.6149
0.0050 0.0289 3.8356
0.0107 0.0326 7.6157
-0.0009 3.7867 3.8289
3.7833 0.0217 7.6208
5.7125 1.9986 5.6558
1.8653 1.7916 5.7972
1.8592 1.8269 2.0314
5.7107 1.9055 1.8161
5.7066 5.7622 5.7082
1.8490 5.6788 1.9601
1.8610 5.6709 5.7815
5.7014 5.7659 1.8643
3.7789 3.7719 7.6174
3.7696 3.7871 3.8247
3.7759 0.0160 3.8340